# Pr12Nd3Sc | Alexandria | PBE | relaxed
data_Pr12Nd3Sc
_symmetry_space_group_name_H-M 'P 4/m m m'
_symmetry_Int_Tables_number 123
_symmetry_space_group_name_Hall '-P 4 2'
_cell_length_a 5.206
_cell_length_b 5.206
_cell_length_c 20.802
_cell_angle_alpha 90.00
_cell_angle_beta 90.00
_cell_angle_gamma 90.00
loop_
_atom_site_label
_atom_site_type_symbol
_atom_site_fract_x
_atom_site_fract_y
_atom_site_fract_z
Pr1 Pr 0.000 0.000 0.000
Pr2 Pr 0.000 0.000 0.246
Pr3 Pr 0.000 0.000 0.500
Pr4 Pr 0.000 0.500 0.120
Pr5 Pr 0.000 0.500 0.373
Nd1 Nd 0.500 0.500 0.246
Nd2 Nd 0.500 0.500 0.500
Sc1 Sc 0.500 0.500 0.000
# D(E_F)	25.47	states/eV/cell
# density	6.39	g/cm³
# energy of formation	0.45	kcal/mol of atoms
# electronic total energy	-4.855	eV per atom
# M_tot	0.000	μB/cell


# ErMg7Sc2 | Alexandria | PBE | relaxed
data_ErMg7Sc2
_symmetry_space_group_name_H-M 'C m m m'
_symmetry_Int_Tables_number 65
_symmetry_space_group_name_Hall '-C 2 2'
_cell_length_a 7.494
_cell_length_b 21.368
_cell_length_c 3.260
_cell_angle_alpha 90.00
_cell_angle_beta 90.00
_cell_angle_gamma 90.00
loop_
_atom_site_label
_atom_site_type_symbol
_atom_site_fract_x
_atom_site_fract_y
_atom_site_fract_z
Er1 Er 0.000 0.000 0.000
Mg1 Mg 0.000 0.385 0.000
Mg2 Mg 0.000 0.500 0.500
Mg3 Mg 0.187 0.128 0.500
Sc1 Sc 0.000 0.261 0.500
# D(E_F)	19.36	states/eV/cell
# density	2.72	g/cm³
# energy of formation	6.13	kcal/mol of atoms
# electronic total energy	-2.573	eV per atom
# M_tot	2.306	μB/cell


# ZrNi6Sn | Alexandria | PBE | relaxed
data_ZrNi6Sn
_symmetry_space_group_name_H-M 'C m m m'
_symmetry_Int_Tables_number 65
_symmetry_space_group_name_Hall '-C 2 2'
_cell_length_a 7.483
_cell_length_b 10.596
_cell_length_c 10.593
_cell_angle_alpha 90.00
_cell_angle_beta 90.00
_cell_angle_gamma 90.00
loop_
_atom_site_label
_atom_site_type_symbol
_atom_site_fract_x
_atom_site_fract_y
_atom_site_fract_z
Zr1 Zr 0.000 0.000 0.250
Zr2 Zr 0.000 0.247 0.000
Ni1 Ni 0.000 0.000 0.000
Ni2 Ni 0.000 0.000 0.500
Ni3 Ni 0.000 0.249 0.251
Ni4 Ni 0.000 0.500 0.000
Ni5 Ni 0.000 0.500 0.500
Ni6 Ni 0.248 0.376 0.376
Ni7 Ni 0.250 0.125 0.125
Sn1 Sn 0.000 0.246 0.500
Sn2 Sn 0.000 0.500 0.249
# D(E_F)	15.22	states/eV/cell
# density	8.89	g/cm³
# energy of formation	-7.11	kcal/mol of atoms
# electronic total energy	-6.213	eV per atom
# M_tot	0.000	μB/cell


# Sr3Cd5Hg12 | Alexandria | PBE | relaxed
data_Sr3Cd5Hg12
_symmetry_space_group_name_H-M 'I a -3 d'
_symmetry_Int_Tables_number 230
_symmetry_space_group_name_Hall '-I 4bd 2c 3'
_cell_length_a 17.848
_cell_length_b 17.848
_cell_length_c 17.848
_cell_angle_alpha 90.00
_cell_angle_beta 90.00
_cell_angle_gamma 90.00
loop_
_atom_site_label
_atom_site_type_symbol
_atom_site_fract_x
_atom_site_fract_y
_atom_site_fract_z
Sr1 Sr 0.000 0.250 0.125
Cd1 Cd 0.000 0.000 0.000
Cd2 Cd 0.000 0.250 0.375
Hg1 Hg 0.020 0.071 0.649
# D(E_F)	73.06	states/eV/cell
# density	7.55	g/cm³
# energy of formation	-0.50	kcal/mol of atoms
# electronic total energy	-0.684	eV per atom
# M_tot	0.000	μB/cell


# CuP2SO | Alexandria | PBE | relaxed
data_CuP2SO
_symmetry_space_group_name_H-M 'P 4/m m m'
_symmetry_Int_Tables_number 123
_symmetry_space_group_name_Hall '-P 4 2'
_cell_length_a 4.585
_cell_length_b 4.585
_cell_length_c 3.592
_cell_angle_alpha 90.00
_cell_angle_beta 90.00
_cell_angle_gamma 90.00
loop_
_atom_site_label
_atom_site_type_symbol
_atom_site_fract_x
_atom_site_fract_y
_atom_site_fract_z
Cu1 Cu 0.000 0.000 0.000
P1 P 0.000 0.500 0.000
S1 S 0.500 0.500 0.500
O1 O 0.000 0.000 0.500
# D(E_F)	2.76	states/eV/cell
# density	3.82	g/cm³
# electronic total energy	-4.143	eV per atom
# M_tot	0.000	μB/cell
# E above lowest polymorph	1.59	kcal/mol of atoms


# YSeBr2O | Alexandria | PBE | relaxed
data_YSeBr2O
_symmetry_space_group_name_H-M 'P 4/m m m'
_symmetry_Int_Tables_number 123
_symmetry_space_group_name_Hall '-P 4 2'
_cell_length_a 5.511
_cell_length_b 5.511
_cell_length_c 5.732
_cell_angle_alpha 90.00
_cell_angle_beta 90.00
_cell_angle_gamma 90.00
loop_
_atom_site_label
_atom_site_type_symbol
_atom_site_fract_x
_atom_site_fract_y
_atom_site_fract_z
Y1 Y 0.000 0.000 0.000
Se1 Se 0.000 0.000 0.500
Br1 Br 0.000 0.500 0.000
O1 O 0.500 0.500 0.500
# D(E_F)	7.10	states/eV/cell
# density	3.28	g/cm³
# electronic total energy	-3.948	eV per atom
# M_tot	1.489	μB/cell
# E above lowest polymorph	1.50	kcal/mol of atoms


# Ag2SbSe | Alexandria | PBE | relaxed
data_Ag2SbSe
_symmetry_space_group_name_H-M 'I -4 2 d'
_symmetry_Int_Tables_number 122
_symmetry_space_group_name_Hall 'I -4 2bw'
_cell_length_a 6.822
_cell_length_b 6.822
_cell_length_c 9.203
_cell_angle_alpha 90.00
_cell_angle_beta 90.00
_cell_angle_gamma 90.00
loop_
_atom_site_label
_atom_site_type_symbol
_atom_site_fract_x
_atom_site_fract_y
_atom_site_fract_z
Ag1 Ag 0.233 0.750 0.125
Sb1 Sb 0.000 0.000 0.500
Se1 Se 0.000 0.000 0.000
# D(E_F)	4.87	states/eV/cell
# density	6.46	g/cm³
# electronic total energy	-3.135	eV per atom
# M_tot	0.000	μB/cell


# FeTcPdN2 | Alexandria | PBE | relaxed
data_FeTcPdN2
_symmetry_space_group_name_H-M 'P 4/m m m'
_symmetry_Int_Tables_number 123
_symmetry_space_group_name_Hall '-P 4 2'
_cell_length_a 3.796
_cell_length_b 3.796
_cell_length_c 5.129
_cell_angle_alpha 90.00
_cell_angle_beta 90.00
_cell_angle_gamma 90.00
loop_
_atom_site_label
_atom_site_type_symbol
_atom_site_fract_x
_atom_site_fract_y
_atom_site_fract_z
Fe1 Fe 0.000 0.000 0.000
Tc1 Tc 0.000 0.000 0.500
Pd1 Pd 0.500 0.500 0.000
N1 N 0.000 0.500 0.500
# D(E_F)	3.47	states/eV/cell
# density	6.48	g/cm³
# electronic total energy	-7.142	eV per atom
# M_tot	3.653	μB/cell


# IrRuSe2 | Alexandria | PBE | relaxed
data_IrRuSe2
_symmetry_space_group_name_H-M 'C 1 m 1'
_symmetry_Int_Tables_number 8
_cell_length_a 9.862
_cell_length_b 3.046
_cell_length_c 6.172
_cell_angle_alpha 90.00
_cell_angle_beta 94.07
_cell_angle_gamma 90.00
loop_
_symmetry_equiv_pos_as_xyz
'x,y,z'
'x,-y,z'
'x+1/2,y+1/2,z'
'x+1/2,-y+1/2,z'
loop_
_atom_site_label
_atom_site_type_symbol
_atom_site_fract_x
_atom_site_fract_y
_atom_site_fract_z
Ir1 Ir 0.000 0.000 0.000
Ru1 Ru 0.276 0.000 0.020
Se1 Se 0.116 0.500 0.764
Se2 Se 0.353 0.500 0.305
# D(E_F)	7.96	states/eV/cell
# density	8.10	g/cm³
# electronic total energy	-6.122	eV per atom
# M_tot	0.000	μB/cell
# E above lowest polymorph	2.44	kcal/mol of atoms


# BaCoTc2 | Alexandria | PBE | relaxed
data_BaCoTc2
_symmetry_space_group_name_H-M 'P m m m'
_symmetry_Int_Tables_number 47
_cell_length_a 3.165
_cell_length_b 4.476
_cell_length_c 5.264
_cell_angle_alpha 90.00
_cell_angle_beta 90.00
_cell_angle_gamma 90.00
loop_
_symmetry_equiv_pos_as_xyz
'x,y,z'
'-x,-y,-z'
'-x,-y,z'
'x,y,-z'
'x,-y,-z'
'-x,y,z'
'-x,y,-z'
'x,-y,z'
loop_
_atom_site_label
_atom_site_type_symbol
_atom_site_fract_x
_atom_site_fract_y
_atom_site_fract_z
Ba1 Ba 0.000 0.000 0.000
Co1 Co 0.500 0.500 0.000
Tc1 Tc 0.000 0.500 0.500
Tc2 Tc 0.500 0.000 0.500
# D(E_F)	6.41	states/eV/cell
# density	8.74	g/cm³
# energy of formation	28.76	kcal/mol of atoms
# electronic total energy	-6.193	eV per atom
# M_tot	2.085	μB/cell
# E above lowest polymorph	18.19	kcal/mol of atoms


# Ta2TlSb | Alexandria | PBE | relaxed
data_Ta2TlSb
_symmetry_space_group_name_H-M 'I -4 2 d'
_symmetry_Int_Tables_number 122
_symmetry_space_group_name_Hall 'I -4 2bw'
_cell_length_a 6.314
_cell_length_b 6.314
_cell_length_c 12.497
_cell_angle_alpha 90.00
_cell_angle_beta 90.00
_cell_angle_gamma 90.00
loop_
_atom_site_label
_atom_site_type_symbol
_atom_site_fract_x
_atom_site_fract_y
_atom_site_fract_z
Ta1 Ta 0.246 0.250 0.125
Tl1 Tl 0.000 0.000 0.000
Sb1 Sb 0.000 0.000 0.500
# D(E_F)	17.82	states/eV/cell
# density	9.17	g/cm³
# electronic total energy	-5.896	eV per atom
# M_tot	0.000	μB/cell
# E above lowest polymorph	32.80	kcal/mol of atoms


# YPCl | Alexandria | PBE | relaxed
data_YPCl
_symmetry_space_group_name_H-M 'I 4 m m'
_symmetry_Int_Tables_number 107
_symmetry_space_group_name_Hall 'I 4 -2'
_cell_length_a 3.326
_cell_length_b 3.326
_cell_length_c 13.973
_cell_angle_alpha 90.00
_cell_angle_beta 90.00
_cell_angle_gamma 90.00
loop_
_atom_site_label
_atom_site_type_symbol
_atom_site_fract_x
_atom_site_fract_y
_atom_site_fract_z
Y1 Y 0.000 0.000 0.000
P1 P 0.000 0.000 0.622
Cl1 Cl 0.000 0.000 0.376
# D(E_F)	1.96	states/eV/cell
# density	3.34	g/cm³
# electronic total energy	-5.598	eV per atom
# M_tot	0.000	μB/cell
# E above lowest polymorph	9.67	kcal/mol of atoms